[1]
Material: ZnFeOs2
Method: DFT, PBE
State: optimized geometry

```
ZnFeOs2
1.0
0.000 3.020 3.020
3.020 0.000 3.020
3.020 3.020 0.000
Zn Fe Os
1 1 2
direct
0.000 0.000 0.000 Zn
0.250 0.250 0.250 Fe
0.500 0.500 0.500 Os
0.750 0.750 0.750 Os
```

Values from the calculation:
Its formation energy is 0.337 eV per atom. The calculation puts the theoretical density at 15.12 g/cm3. The calculation puts the density of states at the Fermi level at 3.42 states/eV/f.u.



[2]
Material: AcLa5TbHo2
Method: DFT, PBE
State: optimized geometry

```
AcLa5TbHo2
1.0
2.818 -12.348 0.000
2.818 12.348 0.000
0.000 0.000 9.603
Ac La Tb Ho
2 10 2 4
direct
0.103 0.897 0.500 Ac
0.897 0.103 0.000 Ac
0.025 0.975 0.169 La
0.108 0.892 0.896 La
0.189 0.811 0.203 La
0.241 0.759 0.568 La
0.490 0.510 0.384 La
0.510 0.490 0.884 La
0.759 0.241 0.068 La
0.811 0.189 0.703 La
0.892 0.108 0.396 La
0.975 0.025 0.669 La
0.267 0.733 0.892 Tb
0.733 0.267 0.392 Tb
0.326 0.674 0.250 Ho
0.388 0.612 0.640 Ho
0.612 0.388 0.140 Ho
0.674 0.326 0.750 Ho
```

Values from the calculation:
Its formation energy is 0.144 eV per atom. The calculation puts the theoretical density at 7.01 g/cm3. The calculation puts the density of states at the Fermi level at 12.73 states/eV/f.u.



[3]
Material: PrDy2Co
Method: DFT, PBE
State: optimized geometry

```
PrDy2Co
1.0
1.830 1.056 10.345
-1.830 1.056 10.345
0.000 -2.113 10.345
Pr Dy Co
1 2 1
direct
0.000 0.000 0.000 Pr
0.116 0.116 0.116 Dy
0.884 0.884 0.884 Dy
0.500 0.500 0.500 Co
```

Values from the calculation:
As for the offset from the most stable computed form: 236 meV/atom. Its formation energy is 0.114 eV per atom. The calculation puts the theoretical density at 7.27 g/cm3. The calculation puts the density of states at the Fermi level at 4.50 states/eV/f.u.



[4]
Material: Li3NiH6
Method: DFT, PBE
State: optimized geometry

```
Li3NiH6
1.0
3.806 2.197 3.130
-3.806 2.197 3.130
0.000 -4.394 3.130
Li Ni H
6 2 12
direct
0.114 0.750 0.386 Li
0.250 0.614 0.886 Li
0.386 0.114 0.750 Li
0.614 0.886 0.250 Li
0.750 0.386 0.114 Li
0.886 0.250 0.614 Li
0.000 0.000 0.000 Ni
0.500 0.500 0.500 Ni
0.051 0.937 0.720 H
0.063 0.280 0.949 H
0.220 0.437 0.551 H
0.280 0.949 0.063 H
0.437 0.551 0.220 H
0.449 0.780 0.563 H
0.551 0.220 0.437 H
0.563 0.449 0.780 H
0.720 0.051 0.937 H
0.780 0.563 0.449 H
0.937 0.720 0.051 H
0.949 0.063 0.280 H
```

Values from the calculation:
As for the offset from the most stable computed form: 0 meV/atom. The calculation puts the theoretical density at 1.81 g/cm3. The calculation puts the density of states at the Fermi level at 1.76 states/eV/f.u.



[5]
Material: Na4B7C
Method: DFT, PBE
State: optimized geometry

```
Na4B7C
1.0
5.124 0.000 0.000
0.006 5.974 0.000
2.562 1.495 8.665
Na B C
8 14 2
direct
0.000 0.000 0.000 Na
0.000 0.500 0.000 Na
0.249 0.125 0.499 Na
0.251 0.625 0.499 Na
0.499 0.250 0.000 Na
0.501 0.750 0.000 Na
0.749 0.375 0.501 Na
0.751 0.875 0.501 Na
0.024 0.687 0.250 B
0.048 0.188 0.249 B
0.206 0.439 0.250 B
0.206 0.935 0.249 B
0.306 0.813 0.749 B
0.441 0.076 0.750 B
0.441 0.550 0.749 B
0.559 0.450 0.251 B
0.559 0.924 0.250 B
0.694 0.187 0.251 B
0.794 0.065 0.751 B
0.794 0.561 0.750 B
0.952 0.812 0.751 B
0.976 0.313 0.750 B
0.296 0.313 0.749 C
0.704 0.687 0.251 C
```

Values from the calculation:
As for the offset from the most stable computed form: 19 meV/atom. Its formation energy is 0.241 eV per atom. The calculation puts the theoretical density at 2.25 g/cm3. The calculation puts the density of states at the Fermi level at 1.81 states/eV/f.u.